Record 1
UHCl2: relaxed, GGA-PBE.

The space group is R3m (No. 160, hexagonal axes) and the conventional cell measures 3.7674, 3.7674 and 21.3865 Å, with angles of 90.00, 90.00 and 120.00 degrees. Symmetry generates all atoms from U at (0.0000, 0.0000, 0.0000), H at (0.0000, 0.0000, 0.3334), Cl at (0.0000, 0.0000, 0.5805) and Cl at (0.0000, 0.0000, 0.7528).

For the total energy, the calculation gives -69.94 eV per cell. Its theoretical density is 5.87 Mg/m³.

Record 2
Co2SbBr: relaxed, GGA-PBE.

The space group is Pmmm (No. 47) and the conventional cell measures 3.141, 3.432 and 6.588 Å, with angles of 90.00, 90.00 and 90.00 degrees. Symmetry generates all atoms from Co at (0.000, 0.000, 0.191), Sb at (0.500, 0.500, 0.000) and Br at (0.500, 0.000, 0.500).

The uncorrected formation energy comes out at 0.2689 eV/atom. As for the excess energy over the best structure of this formula in the dataset: 0.154 eV/atom. Its theoretical density is 7.47 Mg/m³.

Record 3
TbMg2Tl3: relaxed, GGA-PBE.

The space group is Cmmm (No. 65) and the conventional cell measures 5.002, 15.182 and 4.047 Å, with angles of 90.00, 90.00 and 90.00 degrees. Symmetry generates all atoms from Tb at (0.000, 0.000, 0.000), Mg at (0.000, 0.331, 0.000), Tl at (0.000, 0.170, 0.500) and Tl at (0.000, 0.500, 0.500).

As for the excess energy over the best structure of this formula in the dataset: 0.000 eV/atom. The value obtained for the formation energy is -177 meV/atom. Its theoretical density is 8.87 Mg/m³.

Record 4
ZrMo2Pt: relaxed, GGA-PBE.

The space group is P4/mmm (No. 123) and the conventional cell measures 3.410, 3.410 and 5.961 Å, with angles of 90.00, 90.00 and 90.00 degrees. Symmetry generates all atoms from Zr at (0.000, 0.000, 0.000), Mo at (0.500, 0.500, 0.269) and Pt at (0.000, 0.000, 0.500).

As for the excess energy over the best structure of this formula in the dataset: 0.285 eV/atom. The value obtained for the formation energy is 15 meV/atom. Its theoretical density is 11.46 Mg/m³.

Record 5
Tc2MoRh: relaxed, GGA-PBE.

The space group is P4/mmm (No. 123) and the conventional cell measures 2.740, 2.740 and 7.906 Å, with angles of 90.00, 90.00 and 90.00 degrees. Symmetry generates all atoms from Tc at (0.000, 0.000, 0.246), Mo at (0.500, 0.500, 0.500) and Rh at (0.500, 0.500, 0.000).

As for the excess energy over the best structure of this formula in the dataset: 0.128 eV/atom. The value obtained for the formation energy is 62 meV/atom. Its theoretical density is 11.05 Mg/m³.

Record 6
K2ZrW: relaxed, GGA-PBE.

The space group is Cm (No. 8) and the conventional cell measures 9.618, 2.943 and 10.028 Å, with angles of 90.00, 91.27 and 90.00 degrees. Symmetry generates all atoms from K at (0.000, 0.000, 0.000), K at (0.239, 0.000, 0.609), Zr at (0.256, 0.500, 0.269) and W at (0.488, 0.000, 0.340).

As for the excess energy over the best structure of this formula in the dataset: 0.202 eV/atom. The value obtained for the formation energy is 1042 meV/atom. Its theoretical density is 4.13 Mg/m³.

Record 7
VTe2I: relaxed, GGA-PBE.

The space group is Fm-3m (No. 225) and the conventional cell measures 7.477, 7.477 and 7.477 Å, with angles of 90.00, 90.00 and 90.00 degrees. Symmetry generates all atoms from V at (0.000, 0.000, 0.000), Te at (0.250, 0.250, 0.250) and I at (0.000, 0.000, 0.500).

The uncorrected formation energy comes out at 0.5956 eV/atom. As for the excess energy over the best structure of this formula in the dataset: 0.764 eV/atom. Its theoretical density is 6.88 Mg/m³.

Record 8
Cs3Tl4Ge: relaxed, GGA-PBE.

The space group is Imm2 (No. 44) and the conventional cell measures 7.008, 8.197 and 11.714 Å, with angles of 90.00, 90.00 and 90.00 degrees. Symmetry generates all atoms from Cs at (0.000, 0.000, 0.000), Cs at (0.000, 0.237, 0.638), Tl at (0.000, 0.301, 0.312), Tl at (0.232, 0.500, 0.886) and Ge at (0.000, 0.500, 0.101).

The value obtained for the formation energy is -49 meV/atom. Its theoretical density is 6.36 Mg/m³.

Record 9
Cs3BS3: relaxed, GGA-PBE.

The space group is P2_1/c (No. 14) and the conventional cell measures 11.000, 6.749 and 13.829 Å, with angles of 90.00, 103.77 and 90.00 degrees. Symmetry generates all atoms from Cs at (0.028, 0.210, 0.358), Cs at (0.249, 0.641, 0.492), Cs at (0.405, 0.055, 0.306), B at (0.235, 0.121, 0.627), S at (0.098, 0.216, 0.121), S at (0.283, 0.560, 0.229) and S at (0.327, 0.145, 0.533).

The uncorrected formation energy comes out at -1.0578 eV/atom. As for the excess energy over the best structure of this formula in the dataset: 0.000 eV/atom. Its theoretical density is 3.37 Mg/m³.

Record 10
Li2TaTlSe4: relaxed, GGA-PBE.

The space group is I-42m (No. 121) and the conventional cell measures 7.048, 7.048 and 8.897 Å, with angles of 90.00, 90.00 and 90.00 degrees. Symmetry generates all atoms from Li at (0.000, 0.500, 0.250), Ta at (0.000, 0.000, 0.000), Tl at (0.000, 0.000, 0.500) and Se at (0.197, 0.197, 0.159).

The uncorrected formation energy comes out at -0.8503 eV/atom. Its theoretical density is 5.37 Mg/m³.

Record 11
YURu2: relaxed, GGA-PBE.

The space group is Pnma (No. 62) and the conventional cell measures 7.041, 7.183 and 6.414 Å, with angles of 90.00, 90.00 and 90.00 degrees. Symmetry generates all atoms from Y at (0.017, 0.250, 0.182), U at (0.080, 0.750, 0.312) and Ru at (0.202, 0.043, 0.562).

The value obtained for the formation energy is -262 meV/atom. Its theoretical density is 10.83 Mg/m³.

Record 12
MgTi8N2: relaxed, GGA-PBE.

The space group is C2/m (No. 12) and the conventional cell measures 11.540, 6.595 and 4.527 Å, with angles of 90.00, 91.81 and 90.00 degrees. Symmetry generates all atoms from Mg at (0.000, 0.000, 0.000), Ti at (0.104, 0.288, 0.702), Ti at (0.163, 0.500, 0.200), Ti at (0.196, 0.000, 0.291) and N at (0.161, 0.000, 0.775).

The uncorrected formation energy comes out at -0.2552 eV/atom. Its theoretical density is 4.20 Mg/m³.

Record 13
BeMo2Os: relaxed, GGA-PBE.

The space group is P4mm (No. 99) and the conventional cell measures 3.112, 3.112 and 5.719 Å, with angles of 90.00, 90.00 and 90.00 degrees. Symmetry generates all atoms from Be at (0.000, 0.000, 0.000), Mo at (0.000, 0.000, 0.504), Mo at (0.500, 0.500, 0.246) and Os at (0.500, 0.500, 0.799).

The value obtained for the formation energy is 77 meV/atom. Its theoretical density is 11.73 Mg/m³.

In the order shown, the computed total moment values come out to 3.00; 1.06; 0.00; 0.00; 0.00; 0.00; 2.33; 0.00; 0.00; 0.00; 0.85; 0.00; 0.00 μB per formula unit.